Record 1
Below is a relaxed structure of Dy2MgTe4, with properties calculated at the GGA-PBE level.

Computed properties:
Total magnetic moment, μB/f.u.: 0.0
Calculated volume, Å³ per cell: 457.7
Uncorrected formation energy, eV per atom: -1.239
Theoretical density, Mg/m³: 6.2

Cell and atoms, written as CIF:
```
data_Dy2MgTe4
_cell_length_a 15.882
_cell_length_b 4.325
_cell_length_c 7.554
_cell_angle_alpha 90.00
_cell_angle_beta 118.07
_cell_angle_gamma 90.00
_space_group_name_H-M_alt 'C 1 2/m 1'
_space_group_IT_number 12
loop_
_space_group_symop_operation_xyz
'x,y,z'
'-x,-y,-z'
'-x,y,-z'
'x,-y,z'
'x+1/2,y+1/2,z'
'-x+1/2,-y+1/2,-z'
'-x+1/2,y+1/2,-z'
'x+1/2,-y+1/2,z'
loop_
_atom_site_label
_atom_site_fract_x
_atom_site_fract_y
_atom_site_fract_z
Dy1 0.239 0.000 0.226
Mg1 0.000 0.500 0.500
Te1 0.116 0.500 0.939
Te2 0.127 0.000 0.470
```

***

Record 2
Below is a relaxed structure of Dy2MgTl3Te6, with properties calculated at the GGA-PBE level.

Computed properties:
Total magnetic moment, μB/f.u.: 0.0
Calculated volume, Å³ per cell: 809.9
Uncorrected formation energy, eV per atom: -0.850
Theoretical density, Mg/m³: 7.1

Cell and atoms, written as CIF:
```
data_Dy2MgTl3Te6
_cell_length_a 7.655
_cell_length_b 13.264
_cell_length_c 8.375
_cell_angle_alpha 90.00
_cell_angle_beta 107.75
_cell_angle_gamma 90.00
_space_group_name_H-M_alt 'C 1 2/m 1'
_space_group_IT_number 12
loop_
_space_group_symop_operation_xyz
'x,y,z'
'-x,-y,-z'
'-x,y,-z'
'x,-y,z'
'x+1/2,y+1/2,z'
'-x+1/2,-y+1/2,-z'
'-x+1/2,y+1/2,-z'
'x+1/2,-y+1/2,z'
loop_
_atom_site_label
_atom_site_fract_x
_atom_site_fract_y
_atom_site_fract_z
Dy1 0.000 0.165 0.000
Mg1 0.000 0.500 0.000
Tl1 0.000 0.000 0.500
Tl2 0.000 0.329 0.500
Te1 0.233 0.336 0.212
Te2 0.245 0.000 0.214
```

***

Record 3
Below is a relaxed structure of Dy3MgTl3Te8, with properties calculated at the GGA-PBE level.

Computed properties:
Total magnetic moment, μB/f.u.: 0.0
Calculated volume, Å³ per cell: 1072.4
Uncorrected formation energy, eV per atom: -0.866
Theoretical density, Mg/m³: 6.6

Cell and atoms, written as CIF:
```
data_Dy3MgTl3Te8
_cell_length_a 15.109
_cell_length_b 8.730
_cell_length_c 9.560
_cell_angle_alpha 90.00
_cell_angle_beta 121.74
_cell_angle_gamma 90.00
_space_group_name_H-M_alt 'C 1 2/m 1'
_space_group_IT_number 12
loop_
_space_group_symop_operation_xyz
'x,y,z'
'-x,-y,-z'
'-x,y,-z'
'x,-y,z'
'x+1/2,y+1/2,z'
'-x+1/2,-y+1/2,-z'
'-x+1/2,y+1/2,-z'
'x+1/2,-y+1/2,z'
loop_
_atom_site_label
_atom_site_fract_x
_atom_site_fract_y
_atom_site_fract_z
Dy1 0.000 0.000 0.000
Dy2 0.250 0.250 0.000
Mg1 0.000 0.500 0.000
Tl1 0.000 0.500 0.500
Tl2 0.250 0.250 0.500
Te1 0.011 0.255 0.789
Te2 0.234 0.500 0.211
Te3 0.239 0.000 0.218
```

***

Record 4
Below is a relaxed structure of Dy3MgTl4Te8, with properties calculated at the GGA-PBE level.

Computed properties:
Total magnetic moment, μB/f.u.: 0.0
Calculated volume, Å³ per cell: 1635.2
Uncorrected formation energy, eV per atom: -0.902
Theoretical density, Mg/m³: 7.2

Cell and atoms, written as CIF:
```
data_Dy3MgTl4Te8
_cell_length_a 8.8583
_cell_length_b 8.8583
_cell_length_c 24.0618
_cell_angle_alpha 90.00
_cell_angle_beta 90.00
_cell_angle_gamma 120.00
_space_group_name_H-M_alt 'R -3 m'
_space_group_IT_number 166
_space_group_name_Hall '-R 3 2"'
loop_
_atom_site_label
_atom_site_fract_x
_atom_site_fract_y
_atom_site_fract_z
Dy1 0.0000 0.5000 0.0000
Mg1 0.0000 0.0000 0.0000
Tl1 0.0000 0.0000 0.5000
Tl2 0.0000 0.5000 0.5000
Te1 0.0000 0.0000 0.2610
Te2 0.0061 0.5030 0.7370
```

***

Record 5
Below is a relaxed structure of Dy3Y3MgTe8, with properties calculated at the GGA-PBE level.

Computed properties:
Total magnetic moment, μB/f.u.: 0.0
Calculated volume, Å³ per cell: 1394.9
Uncorrected formation energy, eV per atom: -1.291
Theoretical density, Mg/m³: 6.4

Cell and atoms, written as CIF:
```
data_Dy3Y3MgTe8
_cell_length_a 8.6920
_cell_length_b 8.6920
_cell_length_c 21.3196
_cell_angle_alpha 90.00
_cell_angle_beta 90.00
_cell_angle_gamma 120.00
_space_group_name_H-M_alt 'R -3 m'
_space_group_IT_number 166
_space_group_name_Hall '-R 3 2"'
loop_
_atom_site_label
_atom_site_fract_x
_atom_site_fract_y
_atom_site_fract_z
Dy1 0.0000 0.5000 0.0000
Y1 0.0000 0.5000 0.5000
Mg1 0.0000 0.0000 0.0000
Te1 0.0000 0.0000 0.2503
Te2 0.0045 0.5023 0.7486
```

***

Record 6
Below is a relaxed structure of Dy4ThMg5, with properties calculated at the GGA-PBE level.

Computed properties:
Calculated formation energy, eV per atom: -0.05
Total magnetic moment, μB/f.u.: 0.0
Calculated volume, Å³ per cell: 273.5
Theoretical density, Mg/m³: 6.1

Cell and atoms, written as CIF:
```
data_Dy4ThMg5
_cell_length_a 3.790
_cell_length_b 3.790
_cell_length_c 19.044
_cell_angle_alpha 90.00
_cell_angle_beta 90.00
_cell_angle_gamma 90.00
_space_group_name_H-M_alt 'P 4/m m m'
_space_group_IT_number 123
_space_group_name_Hall '-P 4 2'
loop_
_atom_site_label
_atom_site_fract_x
_atom_site_fract_y
_atom_site_fract_z
Dy1 0.000 0.000 0.099
Dy2 0.000 0.000 0.298
Th1 0.000 0.000 0.500
Mg1 0.500 0.500 0.000
Mg2 0.500 0.500 0.198
Mg3 0.500 0.500 0.395
```

***

Record 7
Below is a relaxed structure of Dy6Th2Mg, with properties calculated at the GGA-PBE level.

Computed properties:
Calculated formation energy, eV per atom: 0.08
Total magnetic moment, μB/f.u.: 0.0
Calculated volume, Å³ per cell: 282.3
Theoretical density, Mg/m³: 8.6

Cell and atoms, written as CIF:
```
data_Dy6Th2Mg
_cell_length_a 3.5278
_cell_length_b 3.5278
_cell_length_c 26.1885
_cell_angle_alpha 90.00
_cell_angle_beta 90.00
_cell_angle_gamma 120.00
_space_group_name_H-M_alt 'P -6 m 2'
_space_group_IT_number 187
_space_group_name_Hall 'P -6 2'
loop_
_atom_site_label
_atom_site_fract_x
_atom_site_fract_y
_atom_site_fract_z
Dy1 0.0000 0.0000 0.0640
Dy2 0.0000 0.0000 0.2860
Dy3 0.3333 0.6667 0.3944
Th1 0.3333 0.6667 0.1725
Mg1 0.0000 0.0000 0.5000
```

***

Record 8
Below is a relaxed structure of DyThMg2, with properties calculated at the GGA-PBE level.

Computed properties:
Calculated formation energy, eV per atom: 0.08
Total magnetic moment, μB/f.u.: 0.0
Calculated volume, Å³ per cell: 341.7
Theoretical density, Mg/m³: 6.5
Excess energy over the best structure of this formula in the dataset, meV per atom: 74

Cell and atoms, written as CIF:
```
data_DyThMg2
_cell_length_a 3.3977
_cell_length_b 3.3977
_cell_length_c 34.1755
_cell_angle_alpha 90.00
_cell_angle_beta 90.00
_cell_angle_gamma 120.00
_space_group_name_H-M_alt 'R -3 m'
_space_group_IT_number 166
_space_group_name_Hall '-R 3 2"'
loop_
_atom_site_label
_atom_site_fract_x
_atom_site_fract_y
_atom_site_fract_z
Dy1 0.0000 0.0000 0.0000
Th1 0.0000 0.0000 0.5000
Mg1 0.0000 0.0000 0.2518
```

***

Record 9
Below is a relaxed structure of DyTh2Mg, with properties calculated at the GGA-PBE level.

Computed properties:
Calculated formation energy, eV per atom: 0.15
Total magnetic moment, μB/f.u.: 0.0
Calculated volume, Å³ per cell: 481.4
Theoretical density, Mg/m³: 9.0
Excess energy over the best structure of this formula in the dataset, meV per atom: 139

Cell and atoms, written as CIF:
```
data_DyTh2Mg
_cell_length_a 7.837
_cell_length_b 7.837
_cell_length_c 7.837
_cell_angle_alpha 90.00
_cell_angle_beta 90.00
_cell_angle_gamma 90.00
_space_group_name_H-M_alt 'F m -3 m'
_space_group_IT_number 225
_space_group_name_Hall '-F 4 2 3'
loop_
_atom_site_label
_atom_site_fract_x
_atom_site_fract_y
_atom_site_fract_z
Dy1 0.000 0.000 0.000
Th1 0.250 0.250 0.250
Mg1 0.000 0.000 0.500
```

***

Record 10
Below is a relaxed structure of Dy5ThMg6, with properties calculated at the GGA-PBE level.

Computed properties:
Calculated formation energy, eV per atom: -0.05
Total magnetic moment, μB/f.u.: 0.0
Calculated volume, Å³ per cell: 327.6
Theoretical density, Mg/m³: 6.0

Cell and atoms, written as CIF:
```
data_Dy5ThMg6
_cell_length_a 5.362
_cell_length_b 7.596
_cell_length_c 8.477
_cell_angle_alpha 90.00
_cell_angle_beta 108.38
_cell_angle_gamma 90.00
_space_group_name_H-M_alt 'P 1 2/m 1'
_space_group_IT_number 10
loop_
_space_group_symop_operation_xyz
'x,y,z'
'-x,-y,-z'
'-x,y,-z'
'x,-y,z'
loop_
_atom_site_label
_atom_site_fract_x
_atom_site_fract_y
_atom_site_fract_z
Dy1 0.000 0.000 0.000
Dy2 0.334 0.000 0.669
Dy3 0.335 0.500 0.670
Th1 0.000 0.500 0.000
Mg1 0.169 0.248 0.338
Mg2 0.500 0.246 0.000
```

***

- Which of these has the lowest theoretical density?
  Dy5ThMg6

***

- What is the total magnetic moment in the eighth record?
  0.0 μB/f.u.

***

- What is the total magnetic moment in the eighth record?
  0.0 μB/f.u.